VASP calculation (PBE) on a relaxed structure of SrBeAs4.

The space group is F-43m (No. 216) and the conventional cell measures 8.0674, 8.0674 and 8.0674 Å, with angles of 90.00, 90.00 and 90.00 degrees. Symmetry generates all atoms from Sr at (0.0000, 0.0000, 0.0000), Be at (0.2500, 0.2500, 0.2500) and As at (0.1198, 0.1198, 0.6198).

The formation energy from the elements comes out at 0.179 eV/atom.